VASP calculation (PBE) on a geometry-optimized Pr3Ho3CoTe2 structure.

Properties
**Energy relative to the lowest polymorph listed for this composition**: 0 meV per atom

a = 8.5040 Å, b = 8.5040 Å, c = 4.0327 Å
α = 90.00°, β = 90.00°, γ = 120.00°
Last column: nearest neighbours and their distance in Å.
Fractional positions:
Pr 0.0000 0.4033 0.0000  4 Te 3.28, 1 Co 3.43, 4 Ho 3.60
Pr 0.4033 0.0000 0.0000  4 Te 3.28, 1 Co 3.43, 4 Ho 3.60
Pr 0.5967 0.5967 0.0000  4 Te 3.28, 1 Co 3.43, 4 Ho 3.60
Ho 0.0000 0.7705 0.5000  2 Co 2.81
Ho 0.2295 0.2295 0.5000  2 Co 2.81
Ho 0.7705 0.0000 0.5000  2 Co 2.81
Co 0.0000 0.0000 0.0000  6 Ho 2.81
Te 0.3333 0.6667 0.5000  6 Pr 3.28, 3 Ho 3.36
Te 0.6667 0.3333 0.5000  6 Pr 3.28, 3 Ho 3.36

***

VASP calculation (PBE) on a geometry-optimized Ho4Co3Pt structure.

Properties
**Energy relative to the elements**: -462 meV/atom

a = 5.6153 Å, b = 3.9355 Å, c = 7.3606 Å
α = 90.00°, β = 90.21°, γ = 90.00°
Last column: nearest neighbours and their distance in Å.
Fractional positions:
Ho 0.0000 0.0000 0.0000  5 Co 2.83-3.11, 2 Pt 2.92
Ho 0.2418 0.5000 0.6431  5 Co 2.85-2.94, 2 Pt 2.95-3.01
Ho 0.4891 0.5000 0.1357  5 Co 2.83-2.93, 1 Pt 3.01
Ho 0.7429 0.0000 0.4890  5 Co 2.88-3.11, 2 Pt 2.90
Co 0.0193 0.5000 0.2933  2 Co 2.30
Co 0.2210 0.0000 0.3468  2 Co 2.30
Co 0.4776 0.0000 0.8587  2 Pt 2.56, 4 Ho 2.83-2.85
Pt 0.7481 0.5000 0.7786  2 Co 2.56

***

VASP calculation (PBE) on a geometry-optimized Ho2CoPt structure.

Properties
**Energy relative to the elements**: -718 meV/atom

a = 4.1267 Å, b = 7.1655 Å, c = 5.5860 Å
α = 90.00°, β = 90.00°, γ = 90.00°
Last column: nearest neighbours and their distance in Å.
Fractional positions:
Ho 0.0000 0.0672 0.0000  4 Co 2.88-3.03, 3 Pt 2.93-2.96
Ho 0.0000 0.5788 0.2406  3 Co 2.85-3.02, 4 Pt 2.92-2.97
Ho 0.5000 0.4212 0.7406  3 Co 2.85-3.02, 4 Pt 2.92-2.97
Ho 0.5000 0.9328 0.5000  4 Co 2.88-3.03, 3 Pt 2.93-2.96
Co 0.0000 0.2131 0.5093  2 Pt 2.63, 5 Ho 2.85-2.93
Co 0.5000 0.7869 0.0093  2 Pt 2.63, 5 Ho 2.85-2.93
Pt 0.0000 0.7087 0.7360  2 Co 2.63, 5 Ho 2.92-2.93
Pt 0.5000 0.2913 0.2360  2 Co 2.63, 5 Ho 2.92-2.93